(1)
A plane-wave DFT calculation with PBE-GGA was carried out for an optimized crystal structure of GaB4W.

CIF file:
```
data_GaB4W
_space_group_name_H-M_alt 'P 6/m m m'
_space_group_IT_number 191
_space_group_name_Hall '-P 6 2'
_cell_length_a 2.9886
_cell_length_b 2.9886
_cell_length_c 7.7707
_cell_angle_alpha 90.00
_cell_angle_beta 90.00
_cell_angle_gamma 120.00
loop_
_atom_site_label
_atom_site_type_symbol
_atom_site_fract_x
_atom_site_fract_y
_atom_site_fract_z
_atom_site_occupancy
Ga1 Ga 0.0000 0.0000 0.0000 1
B1 B 0.3333 0.6667 0.2840 1
W1 W 0.0000 0.0000 0.5000 1
```

Calculated values
As for the excess energy over the best structure of this formula in the dataset: 0.0 meV/atom.


(2)
A plane-wave DFT calculation with PBE-GGA was carried out for an optimized crystal structure of ZnP2F4.

CIF file:
```
data_ZnP2F4
_space_group_name_H-M_alt 'R -3 m'
_space_group_IT_number 166
_space_group_name_Hall '-R 3 2"'
_cell_length_a 2.7674
_cell_length_b 2.7674
_cell_length_c 38.9922
_cell_angle_alpha 90.00
_cell_angle_beta 90.00
_cell_angle_gamma 120.00
loop_
_atom_site_label
_atom_site_type_symbol
_atom_site_fract_x
_atom_site_fract_y
_atom_site_fract_z
_atom_site_occupancy
Zn1 Zn 0.0000 0.0000 0.0000 1
P1 P 0.0000 0.0000 0.2343 1
F1 F 0.0000 0.0000 0.1375 1
F2 F 0.0000 0.0000 0.3008 1
```

Calculated values
Its total energy is -3.727 eV/atom.


(3)
A plane-wave DFT calculation with PBE-GGA was carried out for an optimized crystal structure of Zn2In.

CIF file:
```
data_Zn2In
_space_group_name_H-M_alt 'C m c m'
_space_group_IT_number 63
_space_group_name_Hall '-C 2c 2'
_cell_length_a 3.155
_cell_length_b 14.018
_cell_length_c 5.204
_cell_angle_alpha 90.00
_cell_angle_beta 90.00
_cell_angle_gamma 90.00
loop_
_atom_site_label
_atom_site_type_symbol
_atom_site_fract_x
_atom_site_fract_y
_atom_site_fract_z
_atom_site_occupancy
Zn1 Zn 0.000 0.058 0.250 1
Zn2 Zn 0.000 0.288 0.750 1
In1 In 0.000 0.386 0.250 1
```

Calculated values
Its total energy is -1.636 eV/atom.


(4)
A plane-wave DFT calculation with PBE-GGA was carried out for an optimized crystal structure of Ba2TbOsS6.

CIF file:
```
data_Ba2TbOsS6
_space_group_name_H-M_alt 'P -1'
_space_group_IT_number 2
_cell_length_a 6.978
_cell_length_b 6.998
_cell_length_c 7.023
_cell_angle_alpha 61.36
_cell_angle_beta 60.81
_cell_angle_gamma 60.50
loop_
_space_group_symop_operation_xyz
'x,y,z'
'-x,-y,-z'
loop_
_atom_site_label
_atom_site_type_symbol
_atom_site_fract_x
_atom_site_fract_y
_atom_site_fract_z
_atom_site_occupancy
Ba1 Ba 0.250 0.248 0.253 1
Tb1 Tb 0.000 0.000 0.000 1
Os1 Os 0.500 0.500 0.500 1
S1 S 0.224 0.759 0.306 1
S2 S 0.271 0.676 0.794 1
S3 S 0.298 0.231 0.710 1
```

Calculated values
Its total energy is -5.727 eV/atom.